(1)
The following is a DFT calculation (PBE) of Pm5NdHo2Th after structural relaxation.

The value obtained for the spin magnetization is 0.000 μB per atom. For the volume, the calculation gives 615 Å³/cell. The total energy comes out at -4.85 eV/atom. The density of states at the Fermi level is 13.227 states/eV/f.u. Its formation energy from the elements is 0.16 eV/atom.

Unit cell a=5.704 b=10.599 c=10.557 alpha=90.00 beta=90.00 gamma=105.61
Element x y z (fractional)
Pm 0.277 0.554 0.314
Pm 0.723 0.446 0.814
Pm 0.706 0.412 0.205
Pm 0.294 0.588 0.705
Pm 0.612 0.223 0.527
Pm 0.984 0.968 0.522
Pm 0.523 0.045 0.241
Pm 0.477 0.955 0.741
Pm 0.016 0.032 0.022
Pm 0.388 0.777 0.027
Nd 0.411 0.821 0.448
Nd 0.589 0.179 0.948
Ho 0.884 0.768 0.819
Ho 0.113 0.227 0.734
Ho 0.887 0.773 0.234
Ho 0.116 0.232 0.319
Th 0.801 0.601 0.513
Th 0.199 0.399 0.013

(2)
The following is a DFT calculation (PBE) of KAgCl2 after structural relaxation.

The value obtained for the spin magnetization is 0.000 μB per atom. For the volume, the calculation gives 95 Å³/cell. The total energy comes out at -2.93 eV/atom. The value obtained for the uncorrected formation energy is -1.023 eV per atom.

Unit cell a=5.116 b=5.155 c=3.590 alpha=90.00 beta=90.00 gamma=90.00
Element x y z (fractional)
Cl 0.500 0.500 0.000
Cl 0.000 0.000 0.000
K 0.500 0.000 0.500
Ag 0.000 0.500 0.500

(3)
The following is a DFT calculation (PBE) of Sm6Er3Tm after structural relaxation.

The value obtained for the spin magnetization is 0.000 μB per atom. For the volume, the calculation gives 656 Å³/cell. The energy above the lowest structure with this stoichiometry comes out at 0.000 eV/atom. The total energy comes out at -4.52 eV/atom. The density of states at the Fermi level is 16.417 states/eV/f.u. Its formation energy from the elements is 0.13 eV/atom.

Unit cell a=6.380 b=11.634 c=11.634 alpha=130.58 beta=90.00 gamma=90.00
Element x y z (fractional)
Sm 0.069 0.741 0.621
Sm 0.569 0.259 0.379
Sm 0.320 0.984 0.016
Sm 0.820 0.016 0.984
Sm 0.793 0.300 0.700
Sm 0.293 0.700 0.300
Sm 0.069 0.379 0.259
Sm 0.823 0.544 0.105
Sm 0.323 0.456 0.895
Sm 0.569 0.621 0.741
Sm 0.323 0.105 0.544
Sm 0.823 0.895 0.456
Er 0.491 0.958 0.707
Er 0.090 0.420 0.580
Er 0.991 0.042 0.293
Er 0.991 0.707 0.958
Er 0.491 0.293 0.042
Er 0.590 0.580 0.420
Tm 0.017 0.159 0.841
Tm 0.517 0.841 0.159

(4)
The following is a DFT calculation (PBE) of Tl3Cd after structural relaxation.

The value obtained for the spin magnetization is 0.000 μB per atom. For the volume, the calculation gives 235 Å³/cell. The total energy comes out at -1.96 eV/atom. The density of states at the Fermi level is 1.715 states/eV/f.u. Its formation energy from the elements is 0.04 eV/atom.

Unit cell a=6.858 b=6.945 c=5.713 alpha=90.00 beta=90.00 gamma=120.42
Element x y z (fractional)
Tl 0.490 0.495 0.000
Tl 0.995 0.998 0.000
Tl 0.843 0.671 0.500
Tl 0.490 0.995 0.000
Tl 0.338 0.169 0.500
Tl 0.843 0.172 0.500
Cd 0.336 0.668 0.500
Cd 0.998 0.499 0.000

(5)
The following is a DFT calculation (PBE) of Pm2PuPd after structural relaxation.

The value obtained for the spin magnetization is 1.455 μB per atom. For the volume, the calculation gives 112 Å³/cell. The energy above the lowest structure with this stoichiometry comes out at 0.428 eV/atom. The total energy comes out at -7.09 eV/atom. The density of states at the Fermi level is 8.975 states/eV/f.u. Its formation energy from the elements is 0.17 eV/atom.

Unit cell a=3.400 b=3.400 c=11.357 alpha=81.39 beta=81.39 gamma=60.00
Each line ends with the local moment (μB).
Element x y z (fractional)
Pm 0.920 0.920 0.240  0.03
Pm 0.080 0.080 0.760  0.03
Pu 0.500 0.500 0.500  -5.50
Pd 0.000 0.000 0.000  -0.01

(6)
The following is a DFT calculation (PBE) of Ca4SnSe5 after structural relaxation.

The value obtained for the spin magnetization is 0.000 μB per atom. For the volume, the calculation gives 270 Å³/cell. The total energy comes out at -4.64 eV/atom. The density of states at the Fermi level is 0.000 states/eV/f.u. The value obtained for the uncorrected formation energy is -1.693 eV per atom.

Unit cell a=4.230 b=7.353 c=9.487 alpha=75.13 beta=77.12 gamma=73.28
Element x y z (fractional)
Ca 0.798 0.607 0.798
Ca 0.202 0.393 0.202
Ca 0.597 0.203 0.602
Ca 0.403 0.797 0.398
Se 0.396 0.309 0.898
Se 0.799 0.098 0.304
Se 0.604 0.691 0.102
Se 0.000 0.500 0.500
Se 0.201 0.902 0.696
Sn 0.000 0.000 0.000

(7)
The following is a DFT calculation (PBE) of Li6CdAg8 after structural relaxation.

The value obtained for the spin magnetization is 0.000 μB per atom. For the volume, the calculation gives 266 Å³/cell. The total energy comes out at -2.48 eV/atom. The density of states at the Fermi level is 4.386 states/eV/f.u. Its formation energy from the elements is -0.13 eV/atom.

Unit cell a=7.261 b=7.261 c=7.170 alpha=59.58 beta=59.58 gamma=60.00
Element x y z (fractional)
Ag 0.177 0.341 0.606
Ag 0.876 0.177 0.606
Ag 0.341 0.876 0.606
Ag 0.413 0.413 0.760
Ag 0.124 0.823 0.394
Ag 0.659 0.124 0.394
Ag 0.823 0.659 0.394
Ag 0.587 0.587 0.240
Li 0.471 0.956 0.855
Li 0.529 0.044 0.145
Li 0.283 0.529 0.145
Li 0.956 0.717 0.855
Li 0.044 0.283 0.145
Li 0.717 0.471 0.855
Cd 0.000 0.000 0.000

(8)
The following is a DFT calculation (PBE) of Tm3CoPb after structural relaxation.

The value obtained for the spin magnetization is 0.000 μB per atom. For the volume, the calculation gives 254 Å³/cell. The energy above the lowest structure with this stoichiometry comes out at 0.000 eV/atom. The total energy comes out at -5.21 eV/atom. The density of states at the Fermi level is 2.672 states/eV/f.u. Its formation energy from the elements is -0.36 eV/atom.

Unit cell a=5.406 b=7.367 c=7.367 alpha=120.00 beta=90.00 gamma=90.00
Element x y z (fractional)
Co 0.000 0.000 0.000
Co 0.500 0.000 0.000
Tm 0.250 0.828 0.655
Tm 0.250 0.828 0.172
Tm 0.750 0.172 0.828
Tm 0.750 0.172 0.345
Tm 0.750 0.655 0.828
Tm 0.250 0.345 0.172
Pb 0.750 0.667 0.333
Pb 0.250 0.333 0.667

(9)
The following is a DFT calculation (PBE) of NaTl2Ir2 after structural relaxation.

The value obtained for the spin magnetization is 0.000 μB per atom. For the volume, the calculation gives 200 Å³/cell. The energy above the lowest structure with this stoichiometry comes out at 0.000 eV/atom. The total energy comes out at -4.46 eV/atom. The density of states at the Fermi level is 2.270 states/eV/f.u. Its formation energy from the elements is 0.30 eV/atom.

Unit cell a=7.957 b=7.957 c=3.159 alpha=90.00 beta=90.00 gamma=90.00
Element x y z (fractional)
Na 0.000 0.000 0.000
Na 0.500 0.500 0.000
Tl 0.671 0.829 0.500
Tl 0.171 0.671 0.500
Tl 0.829 0.329 0.500
Tl 0.329 0.171 0.500
Ir 0.373 0.873 0.000
Ir 0.127 0.373 0.000
Ir 0.873 0.627 0.000
Ir 0.627 0.127 0.000

(10)
The following is a DFT calculation (PBE) of NbFeI3 after structural relaxation.

The value obtained for the spin magnetization is 0.933 μB per atom. For the volume, the calculation gives 176 Å³/cell. The energy above the lowest structure with this stoichiometry comes out at 0.000 eV/atom. The total energy comes out at -3.84 eV/atom. The density of states at the Fermi level is 38.713 states/eV/f.u. The value obtained for the uncorrected formation energy is 0.801 eV per atom.

Unit cell a=5.604 b=5.604 c=5.604 alpha=90.00 beta=90.00 gamma=90.00
Each line ends with the local moment (μB).
Element x y z (fractional)
I 0.000 0.500 0.000  0.05
I 0.500 0.000 0.000  0.01
I 0.000 0.000 0.500  0.03
Nb 0.000 0.000 0.000  0.40
Fe 0.500 0.500 0.500  3.50

Question: Look up the spin magnetization of the ninth one.
Answer: 0.000 μB per atom